(1)
Computed, not measured: an optimized crystal structure of AcNp2BeO8 at the PBE level of DFT.

Summary:
The uncorrected formation energy is -2.784 eV per atom.

Cell lengths 4.2215, 5.7389, 7.0259 Å; angles 98.64, 88.25, 84.19 degrees
Element x y z (fractional)
Ac: 0.0000 0.0000 0.5000
Np: 0.4696 0.5386 0.7628
Np: 0.5304 0.4614 0.2372
Be: 0.0000 0.0000 0.0000
O: 0.0760 0.5988 0.2761
O: 0.5706 0.7053 0.0483
O: 0.9218 0.1509 0.1860
O: 0.9240 0.4012 0.7239
O: 0.4294 0.2947 0.9517
O: 0.0782 0.8491 0.8140
O: 0.5381 0.7296 0.5187
O: 0.4619 0.2704 0.4813

---

(2)
Computed, not measured: an optimized crystal structure of PrY3Fe at the PBE level of DFT.

Summary:
For the energy of formation from the pure elements, the calculation gives 30.7 meV/atom. The value obtained for the offset from the most stable computed form is 0 kJ/mol of formula units.

Cell lengths 3.6693, 9.3313, 10.6263 Å; angles 126.90, 90.00, 90.00 degrees
Element x y z (fractional)
Pr: 0.7500 0.7046 0.6398
Pr: 0.2500 0.2954 0.3602
Y: 0.2500 0.6095 0.2831
Y: 0.7500 0.3905 0.7169
Y: 0.2500 0.0416 0.6641
Y: 0.7500 0.2093 0.0066
Y: 0.7500 0.9584 0.3359
Y: 0.2500 0.7907 0.9934
Fe: 0.7500 0.5876 0.0552
Fe: 0.2500 0.4124 0.9448

---

| no. | Fermi-level density of states (states/eV per cell) |
| --- | --- |
| 1 | 7.0 |
| 2 | 13.1 |